Record 1
Density functional theory data (PBE) for a geometry-optimized HfZnCu2 structure.

It has space group P4/mmm (No. 123), with a = 3.040 Å, b = 3.040 Å, c = 6.425 Å, α = 90.00°, β = 90.00° and γ = 90.00°. The inequivalent atoms are Hf at (0.000, 0.000, 0.000), Zn at (0.000, 0.000, 0.500) and Cu at (0.500, 0.500, 0.278).

For the energy of formation, the calculation gives -0.092 eV/atom. The total magnetization comes out at 0.0 Bohr magnetons per cell. The crystal system is tetragonal.

---

Record 2
Density functional theory data (PBE) for a geometry-optimized HfZnCu structure.

It has space group F-43m (No. 216), with a = 6.143 Å, b = 6.143 Å, c = 6.143 Å, α = 90.00°, β = 90.00° and γ = 90.00°. The inequivalent atoms are Hf at (0.000, 0.000, 0.000), Zn at (0.250, 0.250, 0.250) and Cu at (0.250, 0.250, 0.750).

For the energy of formation, the calculation gives 0.489 eV/atom. The total magnetization comes out at 0.0 Bohr magnetons per cell. The crystal system is cubic.

---

Record 3
Density functional theory data (PBE) for a geometry-optimized Hf3ZnCu2 structure.

It has space group Fd-3m (No. 227, origin choice 2), with a = 11.793 Å, b = 11.793 Å, c = 11.793 Å, α = 90.00°, β = 90.00° and γ = 90.00°. The inequivalent atoms are Hf at (0.071, 0.375, 0.375), Zn at (0.000, 0.000, 0.500) and Cu at (0.042, 0.042, 0.708).

For the energy of formation, the calculation gives -0.131 eV/atom. The total magnetization comes out at 0.2 Bohr magnetons per cell. The crystal system is cubic.

---

Record 4
Density functional theory data (PBE) for a geometry-optimized HfZnCu2 structure.

It has space group P6_3/mmc (No. 194), with a = 4.4801 Å, b = 4.4801 Å, c = 7.0608 Å, α = 90.00°, β = 90.00° and γ = 120.00°. The inequivalent atoms are Hf at (0.0000, 0.0000, 0.2500), Zn at (0.3333, 0.6667, 0.2500) and Cu at (0.3333, 0.6667, 0.5805).

For the energy of formation, the calculation gives 0.085 eV/atom. The total magnetization comes out at 0.0 Bohr magnetons per cell. The crystal system is hexagonal.

---

Record 5
Density functional theory data (PBE) for a geometry-optimized Hf2ZnCu2 structure.

It has space group I4/mmm (No. 139), with a = 3.541 Å, b = 3.541 Å, c = 13.726 Å, α = 90.00°, β = 90.00° and γ = 90.00°. The inequivalent atoms are Hf at (0.000, 0.000, 0.106), Zn at (0.000, 0.000, 0.500) and Cu at (0.000, 0.500, 0.250).

For the energy of formation, the calculation gives 0.284 eV/atom. The total magnetization comes out at 1.7 Bohr magnetons per cell. The crystal system is tetragonal.

---

Record 6
Density functional theory data (PBE) for a geometry-optimized Hf2ZnCu structure.

It has space group F-43m (No. 216), with a = 6.596 Å, b = 6.596 Å, c = 6.596 Å, α = 90.00°, β = 90.00° and γ = 90.00°. The inequivalent atoms are Hf at (0.000, 0.000, 0.000), Hf at (0.250, 0.250, 0.250), Zn at (0.000, 0.000, 0.500) and Cu at (0.250, 0.250, 0.750).

For the energy of formation, the calculation gives 0.325 eV/atom. The total magnetization comes out at 3.5 Bohr magnetons per cell. The crystal system is cubic.

---

Record 7
Density functional theory data (PBE) for a geometry-optimized HfZnCu2 structure.

It has space group Pnma (No. 62), with a = 7.366 Å, b = 6.567 Å, c = 4.962 Å, α = 90.00°, β = 90.00° and γ = 90.00°. The inequivalent atoms are Hf at (0.059, 0.250, 0.148), Zn at (0.101, 0.750, 0.350) and Cu at (0.180, 0.048, 0.615).

For the energy of formation, the calculation gives -0.081 eV/atom. The total magnetization comes out at 0.0 Bohr magnetons per cell. The crystal system is orthorhombic.

---

Record 8
Density functional theory data (PBE) for a geometry-optimized HfZnCu structure.

It has space group I4mm (No. 107), with a = 3.064 Å, b = 3.064 Å, c = 10.082 Å, α = 90.00°, β = 90.00° and γ = 90.00°. The inequivalent atoms are Hf at (0.000, 0.000, 0.000), Zn at (0.000, 0.000, 0.689) and Cu at (0.000, 0.000, 0.320).

For the energy of formation, the calculation gives -0.110 eV/atom. The total magnetization comes out at 0.1 Bohr magnetons per cell. The crystal system is tetragonal.

---

Record 9
Density functional theory data (PBE) for a geometry-optimized HfZnCu2 structure.

It has space group F-43m (No. 216), with a = 6.179 Å, b = 6.179 Å, c = 6.179 Å, α = 90.00°, β = 90.00° and γ = 90.00°. The inequivalent atoms are Hf at (0.000, 0.000, 0.000), Zn at (0.250, 0.250, 0.250), Cu at (0.000, 0.000, 0.500) and Cu at (0.250, 0.250, 0.750).

For the energy of formation, the calculation gives -0.110 eV/atom. The total magnetization comes out at 0.0 Bohr magnetons per cell. The crystal system is cubic.

---

Record 10
Density functional theory data (PBE) for a geometry-optimized HfZnCu structure.

It has space group P4/nmm (No. 129, origin choice 2), with a = 3.094 Å, b = 3.094 Å, c = 9.978 Å, α = 90.00°, β = 90.00° and γ = 90.00°. The inequivalent atoms are Hf at (0.250, 0.250, 0.231), Zn at (0.250, 0.250, 0.573) and Cu at (0.250, 0.250, 0.937).

For the energy of formation, the calculation gives -0.101 eV/atom. The total magnetization comes out at 0.0 Bohr magnetons per cell. The crystal system is tetragonal.

---

Record 11
Density functional theory data (PBE) for a geometry-optimized HfZnCu structure.

It has space group F-43m (No. 216), with a = 5.953 Å, b = 5.953 Å, c = 5.953 Å, α = 90.00°, β = 90.00° and γ = 90.00°. The inequivalent atoms are Hf at (0.000, 0.000, 0.000), Zn at (0.000, 0.000, 0.500) and Cu at (0.250, 0.250, 0.250).

For the energy of formation, the calculation gives 0.033 eV/atom. The total magnetization comes out at 0.0 Bohr magnetons per cell. The crystal system is cubic.

---

Record 12
Density functional theory data (PBE) for a geometry-optimized HfZnCu2 structure.

It has space group P4/mmm (No. 123), with a = 4.151 Å, b = 4.151 Å, c = 3.537 Å, α = 90.00°, β = 90.00° and γ = 90.00°. The inequivalent atoms are Hf at (0.000, 0.000, 0.000), Zn at (0.500, 0.500, 0.000) and Cu at (0.000, 0.500, 0.500).

For the energy of formation, the calculation gives -0.008 eV/atom. The total magnetization comes out at 0.0 Bohr magnetons per cell. The crystal system is tetragonal.